CsScCo2Cl8: relaxed, PBE.

Geometry as CIF:
```
data_CsScCo2Cl8
_cell_length_a 10.5586
_cell_length_b 7.1108
_cell_length_c 10.0570
_cell_angle_alpha 90.00
_cell_angle_beta 97.26
_cell_angle_gamma 90.00
_space_group_name_H-M_alt 'C 1 2/m 1'
_space_group_IT_number 12
_space_group_name_Hall '-C 2y'
loop_
_atom_site_label
_atom_site_fract_x
_atom_site_fract_y
_atom_site_fract_z
Cs1 0.0000 0.0000 0.0000
Sc1 0.0000 0.0000 0.5000
Co1 0.1165 0.5000 0.3045
Cl1 0.0158 0.2461 0.6828
Cl2 0.1817 0.5000 0.1063
Cl3 0.2366 0.0000 0.5097
```

Output
The value obtained for the total energy is -4.320 eV/atom.



Cs2CoSeCl6: relaxed, PBE.

Geometry as CIF:
```
data_Cs2CoSeCl6
_cell_length_a 7.6400
_cell_length_b 7.6400
_cell_length_c 10.3222
_cell_angle_alpha 90.00
_cell_angle_beta 90.00
_cell_angle_gamma 90.00
_space_group_name_H-M_alt 'I 4/m m m'
_space_group_IT_number 139
_space_group_name_Hall '-I 4 2'
loop_
_atom_site_label
_atom_site_fract_x
_atom_site_fract_y
_atom_site_fract_z
Cs1 0.0000 0.5000 0.2500
Co1 0.0000 0.0000 0.0000
Se1 0.0000 0.0000 0.5000
Cl1 0.0000 0.0000 0.2674
Cl2 0.2090 0.2090 0.0000
```

Output
The value obtained for the total energy is -3.297 eV/atom.



Cs2CoSiCl6: relaxed, PBE.

Geometry as CIF:
```
data_Cs2CoSiCl6
_cell_length_a 7.1897
_cell_length_b 7.1897
_cell_length_c 10.1319
_cell_angle_alpha 90.00
_cell_angle_beta 90.00
_cell_angle_gamma 90.00
_space_group_name_H-M_alt 'I 4/m m m'
_space_group_IT_number 139
_space_group_name_Hall '-I 4 2'
loop_
_atom_site_label
_atom_site_fract_x
_atom_site_fract_y
_atom_site_fract_z
Cs1 0.0000 0.5000 0.2500
Co1 0.0000 0.0000 0.0000
Si1 0.0000 0.0000 0.5000
Cl1 0.0000 0.0000 0.2457
Cl2 0.2464 0.2464 0.0000
```

Output
The value obtained for the total energy is -3.651 eV/atom.



CsCo2SnCl8: relaxed, PBE.

Geometry as CIF:
```
data_CsCo2SnCl8
_cell_length_a 6.6008
_cell_length_b 6.6008
_cell_length_c 29.5513
_cell_angle_alpha 90.00
_cell_angle_beta 90.00
_cell_angle_gamma 120.00
_space_group_name_H-M_alt 'R -3'
_space_group_IT_number 148
_space_group_name_Hall '-R 3'
loop_
_atom_site_label
_atom_site_fract_x
_atom_site_fract_y
_atom_site_fract_z
Cs1 0.0000 0.0000 0.0000
Co1 0.0000 0.0000 0.2477
Sn1 0.0000 0.0000 0.5000
Cl1 0.0000 0.0000 0.3214
Cl2 0.0084 0.6565 0.4434
```

Output
The value obtained for the total energy is -3.757 eV/atom.



The following energy relative to the elements, uncorrected values (in eV per formula unit) correspond, in order, to the records above: -15.67, -9.59, -11.19, -11.25.
The following spin magnetization values (in μB per cell) correspond, in order, to the records above: 12.0, 6.0, 4.9, 21.1.